Density functional theory data (GGA-PBE) for an optimized crystal structure of Nb2GaPd.

```
data_Nb2GaPd
_chemical_formula_sum 'Nb8 Ga4 Pd4'
_cell_length_a 7.337
_cell_length_b 7.337
_cell_length_c 5.322
_cell_angle_alpha 90.00
_cell_angle_beta 90.00
_cell_angle_gamma 90.00
_space_group_name_H-M_alt 'I -4 2 d'
_space_group_IT_number 122
_space_group_name_Hall 'I -4 2bw'
loop_
_atom_site_label
_atom_site_type_symbol
_atom_site_fract_x
_atom_site_fract_y
_atom_site_fract_z
Nb1 Nb 0.249 0.250 0.125
Ga1 Ga 0.000 0.000 0.500
Pd1 Pd 0.000 0.000 0.000
```

As for the formation energy: 0.120 eV per atom.